DFT (PBE) results for a geometry-optimized Cs2TmF5 structure.

abc: 6.373 8.389 13.168
angles: 90.00 90.00 90.00
Fractional coordinates of all 32 atoms:
1 Cs 0.750 0.500 0.264
2 Cs 0.250 0.500 0.736
3 Cs 0.250 0.000 0.764
4 Cs 0.750 0.000 0.236
5 Cs 0.750 0.848 0.587
6 Cs 0.250 0.152 0.413
7 Cs 0.250 0.652 0.087
8 Cs 0.750 0.348 0.913
9 Tm 0.750 0.838 0.940
10 Tm 0.250 0.162 0.060
11 Tm 0.250 0.662 0.440
12 Tm 0.750 0.338 0.560
13 F 0.750 0.729 0.088
14 F 0.250 0.271 0.912
15 F 0.250 0.771 0.588
16 F 0.750 0.229 0.412
17 F 0.510 0.684 0.890
18 F 0.490 0.316 0.110
19 F 0.490 0.816 0.390
20 F 0.010 0.316 0.110
21 F 0.510 0.184 0.610
22 F 0.990 0.684 0.890
23 F 0.990 0.184 0.610
24 F 0.010 0.816 0.390
25 F 0.500 0.000 0.000
26 F 0.500 0.500 0.500
27 F 0.000 0.000 0.000
28 F 0.000 0.500 0.500
29 F 0.750 0.979 0.806
30 F 0.250 0.021 0.194
31 F 0.250 0.521 0.306
32 F 0.750 0.479 0.694

Summary:
The calculation puts the density of states at the Fermi level at 0.000 states/eV/f.u. The value obtained for the volume is 22.0 A^3/atom. The uncorrected energy comes out at -5.448 eV per atom. The uncorrected formation energy comes out at -3.5057 eV per atom. As for the energy above the most stable polymorph in this dataset: 0 meV/atom. The calculation puts the density at 5.00 Mg/m³.

DFT (PBE) results for a geometry-optimized Sc3CoIr structure.

abc: 4.643 4.643 4.643
angles: 90.00 90.00 90.00
Fractional coordinates of all 5 atoms:
1 Sc 0.000 0.500 0.000
2 Sc 0.000 0.000 0.500
3 Sc 0.500 0.000 0.000
4 Ir 0.500 0.500 0.500
5 Co 0.000 0.000 0.000

Summary:
The calculation puts the density of states at the Fermi level at 2.946 states/eV/f.u. The value obtained for the volume is 20.0 A^3/atom. The uncorrected energy comes out at -7.012 eV per atom. As for the energy above the most stable polymorph in this dataset: 0 meV/atom. As for the energy of formation from the pure elements: -0.020 eV/atom. The calculation puts the density at 6.41 Mg/m³.

DFT (PBE) results for a geometry-optimized Ho2Ga3Ni4Au structure.

abc: 4.034 4.034 10.255
angles: 90.00 90.00 90.00
Fractional coordinates of all 10 atoms:
1 Ho 0.500 0.000 0.246
2 Ho 0.000 0.500 0.754
3 Ga 0.000 0.000 0.500
4 Ga 0.500 0.000 0.877
5 Ga 0.000 0.500 0.123
6 Ni 0.500 0.500 0.000
7 Ni 0.000 0.000 0.000
8 Ni 0.500 0.000 0.651
9 Ni 0.000 0.500 0.349
10 Au 0.500 0.500 0.500

Summary:
The calculation puts the density of states at the Fermi level at 9.763 states/eV/f.u. The value obtained for the volume is 16.7 A^3/atom. The uncorrected energy comes out at -4.973 eV per atom. As for the energy of formation from the pure elements: -0.509 eV/atom. The calculation puts the density at 9.66 Mg/m³.

DFT (PBE) results for a geometry-optimized La3BiCl3 structure.

abc: 7.531 7.531 11.013
angles: 70.01 70.01 60.00
Last column: magnetic moment on the atom in μB.
Fractional coordinates of all 14 atoms:
1 La 0.249 0.626 0.189  0.10
2 La 0.937 0.249 0.189  0.10
3 La 0.626 0.937 0.189  0.10
4 La 0.374 0.063 0.811  0.10
5 La 0.063 0.751 0.811  0.10
6 La 0.751 0.374 0.811  0.10
7 Bi 0.333 0.333 0.000  0.00
8 Bi 0.667 0.667 0.000  0.00
9 Cl 0.467 0.762 0.658  0.00
10 Cl 0.762 0.113 0.658  0.00
11 Cl 0.113 0.467 0.658  0.00
12 Cl 0.887 0.533 0.342  0.00
13 Cl 0.238 0.887 0.342  0.00
14 Cl 0.533 0.238 0.342  0.00

Summary:
The calculation puts the density of states at the Fermi level at 5.353 states/eV/f.u. The value obtained for the volume is 35.5 A^3/atom. The uncorrected energy comes out at -5.031 eV per atom. The uncorrected formation energy comes out at -1.5737 eV per atom. The calculation puts the density at 4.89 Mg/m³.

DFT (PBE) results for a geometry-optimized Er2Ge4Ir3Rh structure.

abc: 4.201 4.201 10.167
angles: 90.00 90.00 90.00
Fractional coordinates of all 10 atoms:
1 Er 0.500 0.000 0.247
2 Er 0.000 0.500 0.753
3 Ge 0.500 0.500 0.000
4 Ge 0.000 0.000 0.000
5 Ge 0.500 0.000 0.632
6 Ge 0.000 0.500 0.368
7 Ir 0.000 0.000 0.500
8 Ir 0.500 0.000 0.869
9 Ir 0.000 0.500 0.131
10 Rh 0.500 0.500 0.500

Summary:
The calculation puts the density of states at the Fermi level at 4.012 states/eV/f.u. The value obtained for the volume is 17.9 A^3/atom. The uncorrected energy comes out at -6.926 eV per atom. As for the energy of formation from the pure elements: -0.773 eV/atom. The calculation puts the density at 12.07 Mg/m³.

DFT (PBE) results for a geometry-optimized LaCdIn structure.

abc: 6.359 6.359 5.007
angles: 113.15 113.15 86.93
Fractional coordinates of all 6 atoms:
1 Cd 0.892 0.908 0.523
2 Cd 0.227 0.573 0.523
3 In 0.796 0.138 0.090
4 In 0.458 0.477 0.090
5 La 0.342 0.023 0.305
6 La 0.847 0.527 0.810

Summary:
The calculation puts the density of states at the Fermi level at 1.343 states/eV/f.u. The value obtained for the volume is 28.3 A^3/atom. The uncorrected energy comes out at -3.333 eV per atom. As for the energy of formation from the pure elements: -0.473 eV/atom. The calculation puts the density at 7.16 Mg/m³.

DFT (PBE) results for a geometry-optimized Na3Tl6Pb2 structure.

abc: 5.508 5.508 12.783
angles: 77.56 77.56 60.00
Fractional coordinates of all 11 atoms:
1 Na 0.000 0.000 0.000
2 Na 0.271 0.271 0.188
3 Na 0.729 0.729 0.812
4 Tl 0.088 0.088 0.736
5 Tl 0.912 0.912 0.264
6 Tl 0.179 0.179 0.464
7 Tl 0.821 0.821 0.536
8 Tl 0.361 0.361 0.918
9 Tl 0.639 0.639 0.082
10 Pb 0.452 0.452 0.644
11 Pb 0.548 0.548 0.356

Summary:
The calculation puts the density of states at the Fermi level at 6.258 states/eV/f.u. The value obtained for the volume is 29.6 A^3/atom. The uncorrected energy comes out at -2.390 eV per atom. As for the energy above the most stable polymorph in this dataset: 0 meV/atom. As for the energy of formation from the pure elements: -0.066 eV/atom. The calculation puts the density at 8.73 Mg/m³.

DFT (PBE) results for a geometry-optimized Mg5TiB2O10 structure.

abc: 3.049 9.386 12.467
angles: 90.00 90.00 90.00
Fractional coordinates of all 36 atoms:
1 Mg 0.000 0.270 0.505
2 Mg 0.000 0.730 0.005
3 Mg 0.500 0.266 0.281
4 Mg 0.500 0.263 0.714
5 Mg 0.500 0.737 0.214
6 Mg 0.500 0.734 0.781
7 Mg 0.500 0.261 0.004
8 Mg 0.500 0.739 0.504
9 Mg 0.000 0.482 0.118
10 Mg 0.000 0.518 0.618
11 Ti 0.000 0.008 0.884
12 Ti 0.000 0.992 0.384
13 B 0.000 0.529 0.360
14 B 0.000 0.984 0.639
15 B 0.000 0.016 0.139
16 B 0.000 0.471 0.860
17 O 0.000 0.607 0.455
18 O 0.000 0.911 0.540
19 O 0.000 0.089 0.040
20 O 0.000 0.393 0.955
21 O 0.500 0.633 0.075
22 O 0.500 0.873 0.920
23 O 0.500 0.127 0.420
24 O 0.500 0.367 0.575
25 O 0.000 0.379 0.359
26 O 0.000 0.129 0.643
27 O 0.000 0.871 0.143
28 O 0.000 0.621 0.859
29 O 0.500 0.348 0.143
30 O 0.500 0.133 0.856
31 O 0.500 0.867 0.356
32 O 0.500 0.652 0.643
33 O 0.000 0.603 0.264
34 O 0.000 0.909 0.739
35 O 0.000 0.091 0.239
36 O 0.000 0.397 0.764

Summary:
The value obtained for the volume is 9.9 A^3/atom. The uncorrected energy comes out at -7.066 eV per atom. The uncorrected formation energy comes out at -2.6880 eV per atom. The calculation puts the density at 3.27 Mg/m³.